Here is EuTl2Pt after structural relaxation from Alexandria via LeMat-Bulk. Energies are from GGA-PBE.

It has space group P2_1/m (No. 11), with a = 4.408 Å, b = 8.544 Å, c = 5.848 Å, α = 90.00°, β = 111.98° and γ = 90.00°. The asymmetric unit holds Eu at (0.069, 0.250, 0.135), Tl at (0.356, 0.050, 0.714) and Pt at (0.224, 0.750, 0.447).

For the formation energy, the calculation gives -469 meV/atom.

---

Here is BrClO2 after structural relaxation from Alexandria via LeMat-Bulk. Energies are from GGA-PBE.

It has space group Fm-3m (No. 225), with a = 5.975 Å, b = 5.975 Å, c = 5.975 Å, α = 90.00°, β = 90.00° and γ = 90.00°. The asymmetric unit holds Br at (0.000, 0.000, 0.000), Cl at (0.000, 0.000, 0.500) and O at (0.250, 0.250, 0.250).

For the excess energy over the best structure of this formula in the dataset, the calculation gives 1469.7 meV per atom.

---

Here is AsF3 after structural relaxation from Alexandria via LeMat-Bulk. Energies are from GGA-PBE.

It has space group R-3m (No. 166, hexagonal axes), with a = 3.6135 Å, b = 3.6135 Å, c = 12.0466 Å, α = 90.00°, β = 90.00° and γ = 120.00°. The asymmetric unit holds As at (0.0000, 0.0000, 0.0000), F at (0.0000, 0.0000, 0.2803) and F at (0.0000, 0.0000, 0.5000).

The calculation puts the total energy at -46.91 eV/cell.